## LaTbH2 (PBE-GGA)

Data for a geometry-optimized LaTbH2 structure.

Results
Theoretical density = 7.539 g/cm³
Total DFT energy (no corrections) = -4.46 eV per atom
Space-group type = R-3m, No. 166

Lattice parameters (Å, degrees): 3.5943 3.5943 6.2573 73.31 73.31 60.00
Last column: nearest neighbours and their distance in Å.
Atoms (fractional coordinates):
H 0.7427 0.7427 0.7720  3 Tb 2.47, 3 La 2.62
H 0.2573 0.2573 0.2280  3 Tb 2.47, 3 La 2.62
La 0.5000 0.5000 0.5000  6 H 2.62
Tb 0.0000 0.0000 0.0000  6 H 2.47